1.
First-principles (PBEsol) data for an optimized crystal structure of BaTlRh2, as listed in the Alexandria database.

a = 4.6526 Å, b = 4.6521 Å, c = 6.0836 Å
α = 112.50°, β = 90.00°, γ = 120.00°
Last column: nearest neighbours and their distance in Å.
Positions (direct):
Rh (0.8196, 0.6392, 0.9588)  3 Tl 2.70, 3 Rh 2.72, 1 Ba 2.95
Rh (0.1804, 0.3608, 0.0412)  3 Tl 2.70, 3 Rh 2.72, 1 Ba 2.95
Ba (0.0000, 0.0000, 0.5000)  2 Rh 2.95
Tl (0.5000, 0.0000, 0.0000)  6 Rh 2.70

Summary:
ΔE_f (eV per atom): -0.10

***

2.
First-principles (PBEsol) data for an optimized crystal structure of BaLaAg2, as listed in the Alexandria database.

a = 4.1496 Å, b = 4.9330 Å, c = 6.2692 Å
α = 90.00°, β = 109.33°, γ = 90.00°
Last column: nearest neighbours and their distance in Å.
Positions (direct):
La (0.3803, 0.5000, 0.7607)  6 Ag 3.14-3.30
Ag (0.6813, 0.5000, 0.3627)  2 Ag 2.98, 2 La 3.14
Ag (0.8221, 0.0000, 0.6441)  2 Ag 2.98, 4 La 3.30, 1 Ba 3.31
Ba (0.1016, 0.0000, 0.2031)  7 Ag 3.31-3.36

Summary:
ΔE_f (eV per atom): -0.15

***

3.
First-principles (PBEsol) data for an optimized crystal structure of KSrRe4, as listed in the Alexandria database.

a = 5.4504 Å, b = 5.4504 Å, c = 5.4504 Å
α = 60.00°, β = 60.00°, γ = 60.00°
Last column: nearest neighbours and their distance in Å.
Positions (direct):
Sr (0.7500, 0.7500, 0.7500)  12 Re 3.20, 4 K 3.34
Re (0.3748, 0.3748, 0.3748)  6 Re 2.72-2.73
Re (0.8757, 0.3748, 0.3748)  6 Re 2.72-2.73
Re (0.3748, 0.3748, 0.8757)  6 Re 2.72-2.73
Re (0.3748, 0.8757, 0.3748)  6 Re 2.72-2.73
K (0.0000, 0.0000, 0.0000)  12 Re 3.19, 4 Sr 3.34

Summary:
ΔE_f (eV per atom): 1.00

***

4.
First-principles (PBEsol) data for an optimized crystal structure of Tb8O13, as listed in the Alexandria database.

a = 9.2506 Å, b = 9.2258 Å, c = 9.3033 Å
α = 108.50°, β = 111.88°, γ = 107.91°
Last column: nearest neighbours and their distance in Å.
Positions (direct):
Tb (0.5228, 0.4994, 0.5125)  6 O 2.20-2.36
Tb (0.8132, 0.0395, 0.7724)  6 O 2.22-2.37
Tb (0.2685, 0.2700, 0.0084)  6 O 2.20-2.34
Tb (0.7301, 0.4674, 0.2513)  7 O 2.20-2.42
Tb (0.2767, 0.5266, 0.7444)  6 O 2.21-2.37
Tb (0.5272, 0.2637, 0.7476)  5 O 2.17-2.33
Tb (0.9978, 0.0036, 0.4930)  6 O 2.24-2.34
Tb (0.0114, 0.4945, 0.0185)  6 O 2.21-2.38
Tb (0.7268, 0.2168, 0.4807)  7 O 2.24-2.43
Tb (0.7576, 0.7699, 0.9738)  7 O 2.25-2.41
Tb (0.9842, 0.2467, 0.2588)  6 O 2.20-2.44
Tb (0.1923, 0.7245, 0.4788)  6 O 2.20-2.35
Tb (0.4907, 0.9946, 0.0046)  7 O 2.21-2.44
Tb (0.9991, 0.7707, 0.7408)  7 O 2.27-2.53
Tb (0.2375, 0.9678, 0.2637)  7 O 2.25-2.41
Tb (0.4754, 0.7325, 0.2224)  6 O 2.21-2.37
O (0.7407, 0.7657, 0.7243)  4 Tb 2.21-2.32
O (0.2417, 0.7537, 0.7468)  4 Tb 2.21-2.31
O (0.7285, 0.9586, 0.4732)  4 Tb 2.26-2.37
O (0.7385, 0.2306, 0.2491)  4 Tb 2.20-2.25
O (0.9911, 0.9948, 0.2414)  4 Tb 2.26-2.31
O (0.2626, 0.7362, 0.2755)  4 Tb 2.21-2.32
O (0.2631, 0.5007, 0.4780)  4 Tb 2.31-2.37
O (0.9500, 0.7396, 0.4617)  4 Tb 2.24-2.37
O (0.4729, 0.9820, 0.2313)  4 Tb 2.21-2.28, 1 O 2.39
O (0.0008, 0.7254, 0.9748)  4 Tb 2.32-2.41
O (0.5083, 0.4946, 0.7555)  4 Tb 2.17-2.35
O (0.0432, 0.2561, 0.0442)  4 Tb 2.20-2.38
O (0.0230, 0.2699, 0.5408)  4 Tb 2.26-2.44
O (0.7670, 0.2595, 0.7561)  4 Tb 2.20-2.33
O (0.2531, 0.0260, 0.0419)  4 Tb 2.33-2.53, 1 O 2.39
O (0.0452, 0.0341, 0.7573)  4 Tb 2.21-2.28
O (0.7164, 0.0086, 0.9554)  3 Tb 2.25-2.39
O (0.4734, 0.2369, 0.4721)  4 Tb 2.20-2.38
O (0.5330, 0.7590, 0.0191)  4 Tb 2.21-2.37
O (0.5015, 0.5095, 0.2664)  4 Tb 2.26-2.31
O (0.7827, 0.4927, 0.5336)  4 Tb 2.27-2.40
O (0.9698, 0.4837, 0.2345)  4 Tb 2.20-2.31, 1 O 2.45
O (0.2293, 0.4837, 0.9541)  4 Tb 2.28-2.37
O (0.7602, 0.5346, 0.0292)  4 Tb 2.39-2.49, 2 O 2.45-2.55
O (0.2683, 0.0103, 0.5441)  4 Tb 2.27-2.40
O (0.4852, 0.2363, 0.9645)  4 Tb 2.27-2.39

Summary:
Uncorrected formation energy (eV/atom): -3.335

***

5.
First-principles (PBEsol) data for an optimized crystal structure of Li2YZr, as listed in the Alexandria database.

a = 3.3587 Å, b = 5.1011 Å, c = 5.2761 Å
α = 90.00°, β = 90.00°, γ = 90.00°
Last column: nearest neighbours and their distance in Å.
Positions (direct):
Y (0.5000, 0.0000, 0.5000)  4 Zr 3.05, 4 Li 3.13, 2 Y 3.36
Li (0.5000, 0.5000, 0.0000)  6 Li 3.05-3.36, 4 Zr 3.13
Li (0.0000, 0.0000, 0.0000)  6 Li 3.05-3.36, 4 Y 3.13
Zr (0.0000, 0.5000, 0.5000)  4 Y 3.05, 4 Li 3.13, 2 Zr 3.36

Summary:
ΔE_f (eV per atom): 0.31

***

6.
First-principles (PBEsol) data for an optimized crystal structure of LiLaGe2, as listed in the Alexandria database.

a = 3.9907 Å, b = 7.7637 Å, c = 10.7737 Å
α = 90.00°, β = 90.00°, γ = 90.00°
Last column: nearest neighbours and their distance in Å.
Positions (direct):
La (0.7500, 0.3595, 0.6330)  9 Ge 3.11-3.41
La (0.2500, 0.6405, 0.3670)  9 Ge 3.11-3.41
La (0.2500, 0.1405, 0.1330)  9 Ge 3.11-3.41
La (0.7500, 0.8595, 0.8670)  9 Ge 3.11-3.41
Ge (0.2500, 0.2202, 0.4312)  2 Ge 2.53, 3 Li 2.62-2.63
Ge (0.2500, 0.6589, 0.6831)  2 Ge 2.53, 2 Li 2.57-2.70
Ge (0.2500, 0.7202, 0.0688)  2 Ge 2.53, 3 Li 2.62-2.63
Ge (0.7500, 0.3411, 0.3169)  2 Ge 2.53, 2 Li 2.57-2.70
Ge (0.2500, 0.1589, 0.8169)  2 Ge 2.53, 2 Li 2.57-2.70
Ge (0.7500, 0.8411, 0.1831)  2 Ge 2.53, 2 Li 2.57-2.70
Ge (0.7500, 0.2798, 0.9312)  2 Ge 2.53, 3 Li 2.62-2.63
Ge (0.7500, 0.7798, 0.5688)  2 Ge 2.53, 3 Li 2.62-2.63
Li (0.2500, 0.4923, 0.8895)  5 Ge 2.57-2.70
Li (0.2500, 0.9923, 0.6105)  5 Ge 2.57-2.70
Li (0.7500, 0.0077, 0.3895)  5 Ge 2.57-2.70
Li (0.7500, 0.5077, 0.1105)  5 Ge 2.57-2.70

Summary:
ΔE_f (eV per atom): -0.73

***

7.
First-principles (PBEsol) data for an optimized crystal structure of HoGe2Pd2, as listed in the Alexandria database.

a = 4.1776 Å, b = 4.1776 Å, c = 5.8488 Å
α = 110.92°, β = 110.92°, γ = 90.00°
Last column: nearest neighbours and their distance in Å.
Positions (direct):
Pd (0.2500, 0.7500, 0.5000)  4 Ge 2.48
Pd (0.7500, 0.2500, 0.5000)  4 Ge 2.48
Ho (0.0000, 0.0000, 0.0000)  8 Ge 3.19, 8 Pd 3.28
Ge (0.3817, 0.3817, 0.7634)  1 Ge 2.39, 4 Pd 2.48
Ge (0.6183, 0.6183, 0.2366)  1 Ge 2.39, 4 Pd 2.48

Summary:
ΔE_f (eV per atom): -0.83

***

8.
First-principles (PBEsol) data for an optimized crystal structure of TaBe2Re, as listed in the Alexandria database.

a = 3.1878 Å, b = 3.2681 Å, c = 4.7088 Å
α = 90.00°, β = 109.79°, γ = 90.00°
Last column: nearest neighbours and their distance in Å.
Positions (direct):
Be (0.6808, 0.5000, 0.3617)  2 Be 2.01
Be (0.8123, 0.0000, 0.6247)  2 Be 2.01
Re (0.0980, 0.0000, 0.1960)  7 Be 2.40-2.53
Ta (0.4067, 0.5000, 0.8134)  7 Be 2.43-2.56

Summary:
ΔE_f (eV per atom): -0.36

***

9.
First-principles (PBEsol) data for an optimized crystal structure of Li4Nb2V3Sn3O16, as listed in the Alexandria database.

a = 6.0216 Å, b = 6.1741 Å, c = 9.5440 Å
α = 92.95°, β = 90.00°, γ = 119.19°
Last column: nearest neighbours and their distance in Å.
Positions (direct):
V (0.3829, 0.1665, 0.7341)  5 O 1.93-2.15
V (0.1660, 0.3321, 0.2116)  6 O 1.98-2.05
V (0.7836, 0.1665, 0.7341)  5 O 1.93-2.15
O (0.8418, 0.1628, 0.1008)  1 Li 1.96, 1 V 1.98, 1 Sn 2.12
O (0.9669, 0.4823, 0.8404)  1 Li 1.90, 1 V 1.94, 1 Nb 2.07
O (0.8384, 0.6767, 0.0877)  2 Sn 2.07, 1 Li 2.09
O (0.0083, 0.0166, 0.3185)  1 Li 1.81
O (0.0186, 0.0372, 0.8004)  1 Li 1.79
O (0.5154, 0.4823, 0.8404)  1 Li 1.90, 1 V 1.94, 1 Nb 2.07
O (0.4852, 0.9703, 0.3451)  1 Li 1.98, 2 Sn 2.08
O (0.0446, 0.5258, 0.3408)  1 V 2.05, 1 Li 2.08, 1 Nb 2.11, 1 Sn 2.13
O (0.3210, 0.1628, 0.1008)  1 Li 1.96, 1 V 1.98, 1 Sn 2.12
O (0.4811, 0.5258, 0.3408)  1 V 2.05, 1 Li 2.08, 1 Nb 2.11, 1 Sn 2.13
O (0.1822, 0.3644, 0.5975)  1 Nb 1.86, 1 Li 1.91
O (0.6718, 0.8481, 0.5900)  1 Nb 1.98, 1 Li 2.02, 1 V 2.15, 1 Sn 2.16
O (0.6614, 0.3227, 0.6085)  2 V 1.93, 1 Li 2.02, 1 Sn 2.12
O (0.4812, 0.9623, 0.8413)  1 Li 1.89, 2 V 1.96, 1 Nb 2.08
O (0.3227, 0.6454, 0.0998)  1 Li 1.94, 1 V 2.05, 2 Sn 2.06
O (0.1764, 0.8481, 0.5900)  1 Nb 1.98, 1 Li 2.02, 1 V 2.15, 1 Sn 2.16
Li (0.3157, 0.6314, 0.8965)  4 O 1.89-1.94
Li (0.6655, 0.3311, 0.3976)  4 O 1.98-2.08
Li (0.0193, 0.0386, 0.5082)  4 O 1.81-2.02
Li (0.0052, 0.0104, 0.9862)  3 O 1.79-1.96
Nb (0.6489, 0.2977, 0.9598)  5 O 2.07-2.22
Nb (0.3275, 0.6549, 0.5016)  3 O 1.86-1.98
Sn (0.1682, 0.8318, 0.2110)  6 O 2.06-2.13
Sn (0.8400, 0.6800, 0.7139)  6 O 2.05-2.16
Sn (0.6637, 0.8318, 0.2110)  6 O 2.06-2.13

Summary:
Uncorrected formation energy (eV/atom): -2.045

***

10.
First-principles (PBEsol) data for an optimized crystal structure of LaZnAs2Se, as listed in the Alexandria database.

a = 5.5742 Å, b = 5.6333 Å, c = 5.6333 Å
α = 90.00°, β = 90.00°, γ = 90.00°
Last column: nearest neighbours and their distance in Å.
Positions (direct):
La (0.0000, 0.0000, 0.0000)  2 Se 2.79, 4 As 2.82
Se (0.5000, 0.0000, 0.0000)  2 La 2.79
As (0.0000, 0.5000, 0.0000)  2 La 2.82
As (0.0000, 0.0000, 0.5000)  2 La 2.82
Zn (0.5000, 0.5000, 0.5000)  8 As 3.96, 4 Se 3.98

Summary:
Uncorrected formation energy (eV/atom): 0.574

***

11.
First-principles (PBEsol) data for an optimized crystal structure of InAu5, as listed in the Alexandria database.

a = 2.9901 Å, b = 5.5326 Å, c = 6.8792 Å
α = 105.66°, β = 90.00°, γ = 105.68°
Last column: nearest neighbours and their distance in Å.
Positions (direct):
Au (0.6645, 0.3289, 0.3306)  10 Au 2.88-2.99, 2 In 2.92
Au (0.3303, 0.6605, 0.6616)  11 Au 2.88-2.99, 1 In 2.94
Au (0.9464, 0.8928, 0.3939)  2 In 2.88, 10 Au 2.88-2.99
Au (0.6124, 0.2248, 0.7253)  10 Au 2.88-2.99, 2 In 2.91
Au (0.9984, 0.9967, 0.9937)  9 Au 2.89-2.99, 3 In 2.90-2.92
In (0.2814, 0.5628, 0.0615)  10 Au 2.88-2.94, 2 In 2.99

Summary:
ΔE_f (eV per atom): -0.06

***

12.
First-principles (PBEsol) data for an optimized crystal structure of V3HRh, as listed in the Alexandria database.

a = 3.7921 Å, b = 3.7921 Å, c = 3.7921 Å
α = 90.00°, β = 90.00°, γ = 90.00°
Last column: nearest neighbours and their distance in Å.
Positions (direct):
H (0.0000, 0.0000, 0.0000)  6 V 1.90
Rh (0.5000, 0.5000, 0.5000)  12 V 2.68
V (0.5000, 0.0000, 0.0000)  2 H 1.90
V (0.0000, 0.5000, 0.0000)  2 H 1.90
V (0.0000, 0.0000, 0.5000)  2 H 1.90

Summary:
Uncorrected energy (eV for the cell shown): -41.207